VASP calculation (SCAN) on a PBEsol-optimized structure of RbHgMoF2.

abc: 4.869 4.869 5.847
angles: 90.00 90.00 90.00
Element x y z (fractional)
Mo (0.500, 0.500, 0.500)
Hg (0.000, 0.000, 0.500)
Rb (0.000, 0.000, 0.000)
F (0.000, 0.500, 0.000)
F (0.500, 0.000, 0.000)

Summary:
* density of states at the Fermi level: 1.1 states/eV per cell
* total magnetic moment: 0.99 μB per atom
* formation energy (no corrections): -0.196 eV per atom
* space group: No. 123
* VASP energy: -131.851 eV per cell

***

VASP calculation (SCAN) on a PBEsol-optimized structure of NiHgNF2.

abc: 3.895 3.895 3.752
angles: 90.00 90.00 90.00
Element x y z (fractional)
Ni (0.000, 0.000, 0.000)
N (0.000, 0.000, 0.500)
Hg (0.500, 0.500, 0.500)
F (0.000, 0.500, 0.000)
F (0.500, 0.000, 0.000)

Summary:
* density of states at the Fermi level: 0.9 states/eV per cell
* total magnetic moment: 0.46 μB per atom
* formation energy (no corrections): -0.531 eV per atom
* space group: No. 123
* VASP energy: -103.364 eV per cell

***

VASP calculation (SCAN) on a PBEsol-optimized structure of Hg2OsNF.

abc: 3.786 5.092 5.092
angles: 90.00 90.00 90.00
Element x y z (fractional)
N (0.500, 0.500, 0.500)
Os (0.500, 0.000, 0.000)
Hg (0.000, 0.000, 0.500)
Hg (0.000, 0.500, 0.000)
F (0.000, 0.000, 0.000)

Summary:
* density of states at the Fermi level: 2.2 states/eV per cell
* total magnetic moment: 0.52 μB per atom
* formation energy (no corrections): 1.668 eV per atom
* space group: No. 123
* VASP energy: -212.701 eV per cell

***

VASP calculation (SCAN) on a PBEsol-optimized structure of RbHgNF2.

abc: 4.076 4.792 4.792
angles: 90.00 90.00 90.00
Element x y z (fractional)
N (0.500, 0.000, 0.000)
Hg (0.000, 0.000, 0.000)
Rb (0.500, 0.500, 0.500)
F (0.000, 0.000, 0.500)
F (0.000, 0.500, 0.000)

Summary:
* density of states at the Fermi level: 1.2 states/eV per cell
* total magnetic moment: 0.39 μB per atom
* formation energy (no corrections): -0.805 eV per atom
* space group: No. 123
* VASP energy: -109.300 eV per cell

***

VASP calculation (SCAN) on a PBEsol-optimized structure of HgRh2NF.

abc: 3.816 3.816 4.713
angles: 90.00 90.00 90.00
Element x y z (fractional)
N (0.000, 0.000, 0.000)
Rh (0.000, 0.500, 0.000)
Rh (0.500, 0.000, 0.000)
Hg (0.500, 0.500, 0.500)
F (0.000, 0.000, 0.500)

Summary:
* density of states at the Fermi level: 4.1 states/eV per cell
* total magnetic moment: 0.00 μB per atom
* formation energy (no corrections): -0.061 eV per atom
* space group: No. 123
* VASP energy: -148.847 eV per cell

***

VASP calculation (SCAN) on a PBEsol-optimized structure of HgRuNF2.

abc: 3.721 4.201 4.201
angles: 90.00 90.00 90.00
Element x y z (fractional)
Ru (0.000, 0.000, 0.000)
N (0.500, 0.000, 0.000)
Hg (0.500, 0.500, 0.500)
F (0.000, 0.000, 0.500)
F (0.000, 0.500, 0.000)

Summary:
* density of states at the Fermi level: 1.4 states/eV per cell
* total magnetic moment: 0.00 μB per atom
* formation energy (no corrections): -0.533 eV per atom
* space group: No. 123
* VASP energy: -122.029 eV per cell

***

VASP calculation (SCAN) on a PBEsol-optimized structure of HgSbNF2.

abc: 4.210 4.326 4.326
angles: 90.00 90.00 90.00
Element x y z (fractional)
Sb (0.000, 0.000, 0.000)
N (0.500, 0.000, 0.000)
Hg (0.500, 0.500, 0.500)
F (0.000, 0.000, 0.500)
F (0.000, 0.500, 0.000)

Summary:
* density of states at the Fermi level: 2.0 states/eV per cell
* total magnetic moment: 0.00 μB per atom
* formation energy (no corrections): -0.514 eV per atom
* space group: No. 123
* VASP energy: -124.369 eV per cell

***

VASP calculation (SCAN) on a PBEsol-optimized structure of SiHgNF2.

abc: 3.308 4.205 4.205
angles: 90.00 90.00 90.00
Element x y z (fractional)
Si (0.000, 0.000, 0.000)
N (0.500, 0.000, 0.000)
Hg (0.500, 0.500, 0.500)
F (0.000, 0.000, 0.500)
F (0.000, 0.500, 0.000)

Summary:
* density of states at the Fermi level: 2.3 states/eV per cell
* total magnetic moment: 0.00 μB per atom
* formation energy (no corrections): -0.969 eV per atom
* space group: No. 123
* VASP energy: -99.398 eV per cell

***

Question: What is the total magnetic moment in the seventh record?
Answer: 0.00 μB per atom

***

Repeat the fifth record exactly.
VASP calculation (SCAN) on a PBEsol-optimized structure of HgRh2NF.

abc: 3.816 3.816 4.713
angles: 90.00 90.00 90.00
Element x y z (fractional)
N (0.000, 0.000, 0.000)
Rh (0.000, 0.500, 0.000)
Rh (0.500, 0.000, 0.000)
Hg (0.500, 0.500, 0.500)
F (0.000, 0.000, 0.500)

Summary:
* density of states at the Fermi level: 4.1 states/eV per cell
* total magnetic moment: 0.00 μB per atom
* formation energy (no corrections): -0.061 eV per atom
* space group: No. 123
* VASP energy: -148.847 eV per cell

***

Question: What is the density of states at the Fermi level in the fourth record?
Answer: 1.2 states/eV per cell

***

Question: The highest VASP energy belongs to which entry?
Answer: SiHgNF2